(1)
12
Lattice="5.1408 0.0000 0.0000 -2.5704 4.4521 0.0000 0.0000 0.0000 6.9473" Properties=species:S:1:pos:R:3 comment="SrPa2CuO8 PBE-GGA optimized geometry" space_group=P-3m1 magmom_total_mub_per_fu=0.00 final_energy_ev_per_atom=-7.779 e_form_raw_ev_per_fu=-28.92 pbc="T T T"
Sr 0.0000 0.0000 0.0000
Pa 0.0000 2.9680 2.5136
Pa 2.5704 1.4840 4.4337
Cu 0.0000 0.0000 3.4737
O 0.0000 1.5479 4.5452
O -1.2299 3.6781 4.5452
O 0.0000 2.9680 0.6025
O 1.3405 0.7740 2.4021
O 1.2299 3.6781 4.5452
O 2.5704 1.4840 6.3448
O 3.8003 0.7740 2.4021
O 2.5704 2.9041 2.4021

(2)
10
Lattice="2.8191 1.6276 5.6200 -2.8191 1.6276 5.6200 0.0000 -3.2552 5.6200" Properties=species:S:1:pos:R:3 comment="SrPaCu2O6 PBE-GGA optimized geometry" space_group=R-3 magmom_total_mub_per_fu=2.83 final_energy_ev_per_atom=-6.874 e_form_raw_ev_per_fu=-19.62 pbc="T T T"
Sr 0.0000 0.0000 0.0000
Pa 0.0000 0.0000 8.4300
Cu 0.0000 0.0000 4.0424
Cu 0.0000 0.0000 12.8176
O -1.7659 -0.1204 7.1569
O -0.7787 -1.5896 9.7031
O 0.9873 -1.4691 7.1569
O -0.9873 1.4691 9.7031
O 0.7787 1.5896 7.1569
O 1.7659 0.1204 9.7031

(3)
15
Lattice="5.6547 0.0000 0.0000 -2.8273 4.8971 0.0000 0.0000 0.0000 7.2084" Properties=species:S:1:pos:R:3 comment="Sr3PaCu2O9 PBE-GGA optimized geometry" space_group=P-3m1 magmom_total_mub_per_fu=0.00 final_energy_ev_per_atom=-6.632 e_form_raw_ev_per_fu=-32.13 pbc="T T T"
Sr 0.0000 0.0000 0.0000
Sr 0.0000 3.2647 5.2168
Sr 2.8273 1.6324 1.9917
Pa 0.0000 0.0000 3.6042
Cu 0.0000 3.2647 1.1459
Cu 2.8273 1.6324 6.0626
O -1.4137 2.4485 0.0000
O 0.0000 1.6655 2.2952
O -1.3849 4.0643 2.2952
O 1.4424 0.8328 4.9132
O 2.8273 0.0000 0.0000
O 1.4137 2.4485 0.0000
O 1.3849 4.0643 2.2952
O 4.2123 0.8328 4.9132
O 2.8273 3.2316 4.9132

(4)
16
Lattice="3.2640 -4.9791 0.0000 3.2640 4.9791 0.0000 -2.6166 0.0000 7.5951" Properties=species:S:1:pos:R:3 comment="SrPaCuO5 PBE-GGA optimized geometry" space_group=C2/c magmom_total_mub_per_fu=0.00 final_energy_ev_per_atom=-7.389 e_form_raw_ev_per_fu=-19.05 pbc="T T T"
Sr 1.3015 3.2680 5.6963
Sr 2.6098 -3.2680 1.8988
Pa 3.2640 0.0000 0.0000
Pa 1.9557 0.0000 3.7975
Cu 2.6098 3.2889 1.8988
Cu 1.3015 -3.2889 5.6963
O -1.3582 0.4043 6.9603
O -0.0499 -0.4043 3.1627
O 1.7794 2.0404 3.0672
O 3.4402 2.0404 0.7304
O 1.3015 0.8120 5.6963
O 2.6098 -0.8120 1.8988
O 0.4711 -2.0404 6.8647
O 2.1319 -2.0404 4.5279
O 3.9612 0.4043 4.4323
O 5.2695 -0.4043 0.6348

(5)
12
Lattice="-2.6757 2.6757 5.5279 2.6757 -2.6757 5.5279 2.6757 2.6757 -5.5279" Properties=species:S:1:pos:R:3 comment="SrPaCu2O8 PBE-GGA optimized geometry" space_group=I-4 magmom_total_mub_per_fu=0.83 final_energy_ev_per_atom=-6.448 e_form_raw_ev_per_fu=-18.34 pbc="T T T"
Sr 0.0000 0.0000 0.0000
Pa 2.6757 0.0000 2.7639
Cu 0.0000 0.0000 5.5279
Cu 0.0000 2.6757 2.7639
O 3.5791 1.5843 -3.0586
O 2.3253 0.6739 0.4257
O 2.0018 -0.3505 5.1022
O -0.9033 1.0914 2.4692
O 0.6739 3.0262 -0.4257
O 1.5843 1.7724 3.0586
O 0.3505 2.0018 5.9535
O 1.0914 0.9033 8.5865

(6)
11
Lattice="5.1922 -2.9433 0.0000 5.1922 2.9433 0.0000 -3.2132 0.0000 5.5245" Properties=species:S:1:pos:R:3 comment="Sr2PaCu2O6 PBE-GGA optimized geometry" space_group=C2/m magmom_total_mub_per_fu=1.05 final_energy_ev_per_atom=-6.948 e_form_raw_ev_per_fu=-25.63 pbc="T T T"
Sr 1.7491 0.0000 0.9440
Sr 5.4221 0.0000 4.5805
Pa -1.6066 0.0000 2.7622
Cu 2.1379 0.0000 4.1344
Cu 5.0332 0.0000 1.3900
O 3.8174 1.4908 1.1118
O 0.5083 0.0000 3.1911
O 3.3538 1.4908 4.4127
O 3.8174 -1.4908 1.1118
O 6.6628 0.0000 2.3334
O 3.3538 -1.4908 4.4127

(7)
12
Lattice="-3.3639 3.3639 3.2957 3.3639 -3.3639 3.2957 3.3639 3.3639 -3.2957" Properties=species:S:1:pos:R:3 comment="PaTaCu2O8 PBE-GGA optimized geometry" space_group=I-4m2 magmom_total_mub_per_fu=0.04 final_energy_ev_per_atom=-7.638 e_form_raw_ev_per_fu=-22.45 pbc="T T T"
Pa 0.0000 0.0000 0.0000
Ta 3.3639 0.0000 1.6479
Cu 0.0000 0.0000 3.2957
Cu 0.0000 3.3639 1.6479
O 2.0408 3.3639 -1.3437
O 1.3231 0.0000 1.9521
O 0.0000 2.2108 0.1738
O 3.3639 2.0408 1.3437
O 0.0000 4.5170 0.1738
O 0.0000 1.3231 4.6394
O -1.1531 3.3639 3.1219
O 1.1531 3.3639 3.1219

(8)
18
Lattice="5.5569 0.0000 0.0000 -2.7785 4.8124 0.0000 0.0000 0.0000 8.7833" Properties=species:S:1:pos:R:3 comment="PaTaCuO6 PBE-GGA optimized geometry" space_group=P-31c magmom_total_mub_per_fu=1.02 final_energy_ev_per_atom=-8.538 e_form_raw_ev_per_fu=-21.65 pbc="T T T"
Pa 0.0000 3.2083 2.1958
Pa 2.7785 1.6041 6.5875
Ta 0.0000 3.2083 6.5875
Ta 2.7785 1.6041 2.1958
Cu 0.0000 0.0000 0.0000
Cu 0.0000 0.0000 4.3916
O -0.8619 1.7270 5.5415
O -1.7138 3.2025 7.6334
O 0.8619 1.7270 7.6334
O -0.8519 4.6954 5.5415
O 1.9266 0.1171 1.1499
O 1.0647 1.6099 3.2418
O 1.7138 3.2025 5.5415
O 0.8519 4.6954 7.6334
O 3.6304 0.1171 3.2418
O 1.9166 3.0855 1.1499
O 4.4923 1.6099 1.1499
O 3.6404 3.0855 3.2418